one:
DFT (GGA-PBE) results for a relaxed GeTePbN2 crystal.

Summary:
Volume: 98.6 Å³/f.u.
DOS at the Fermi energy: 2.24 states/eV per cell

Cell: 4.2166 4.2166 5.5473 Å, 90.00 90.00 90.00°
Each line ends with the local moment (μB).
Fractional coordinates of all 5 atoms:
1 Ge 0.0000 0.0000 0.0000  -0.07
2 Pb 0.5000 0.5000 0.5000  -0.03
3 Te 0.0000 0.0000 0.5000  0.07
4 N 0.5000 0.0000 0.0000  0.71
5 N 0.0000 0.5000 0.0000  0.71


two:
DFT (GGA-PBE) results for a relaxed GeTePbN2 crystal.

Summary:
Volume: 122.9 Å³/f.u.
DOS at the Fermi energy: 1.78 states/eV per cell

Cell: 4.4033 4.4033 6.3410 Å, 90.00 90.00 90.00°
Each line ends with the local moment (μB).
Fractional coordinates of all 5 atoms:
1 Ge 0.5000 0.5000 0.5000  -0.08
2 N 0.5000 0.0000 0.0000  0.87
3 Pb 0.0000 0.0000 0.0000  -0.05
4 Te 0.0000 0.0000 0.5000  0.08
5 N 0.0000 0.5000 0.0000  0.87


Tell me which of them is the most stable. Sure, it is one.


one:
DFT (GGA-PBE) results for a relaxed GePd3N crystal.

Summary:
Volume: 73.9 Å³/f.u.
DOS at the Fermi energy: 3.34 states/eV per cell

Cell: 4.1967 4.1967 4.1967 Å, 90.00 90.00 90.00°
Fractional coordinates of all 5 atoms:
1 Pd 0.0000 0.5000 0.0000
2 Ge 0.5000 0.5000 0.5000
3 N 0.0000 0.0000 0.0000
4 Pd 0.5000 0.0000 0.0000
5 Pd 0.0000 0.0000 0.5000


two:
DFT (GGA-PBE) results for a relaxed GePd3N crystal.

Summary:
Volume: 101.2 Å³/f.u.
DOS at the Fermi energy: 3.03 states/eV per cell

Cell: 4.6608 4.6608 4.6608 Å, 90.00 90.00 90.00°
Each line ends with the local moment (μB).
Fractional coordinates of all 5 atoms:
1 Pd 0.0000 0.5000 0.0000  0.01
2 N 0.5000 0.5000 0.5000  1.45
3 Pd 0.0000 0.0000 0.5000  0.07
4 Pd 0.5000 0.0000 0.0000  0.00
5 Ge 0.0000 0.0000 0.0000  -0.03


Tell me which of them is the most stable. Sure, it is one.


one:
DFT (GGA-PBE) results for a relaxed GePdN crystal.

Summary:
Volume: 44.9 Å³/f.u.
DOS at the Fermi energy: 2.29 states/eV per cell

Cell: 3.4104 3.6772 4.5359 Å, 68.95 66.92 61.50°
Fractional coordinates of all 3 atoms:
1 Pd 0.2796 0.0139 0.9797
2 Ge 0.7244 0.4679 0.6403
3 N 0.8757 0.6066 0.1945


two:
DFT (GGA-PBE) results for a relaxed GePdN crystal.

Summary:
Volume: 42.9 Å³/f.u.
DOS at the Fermi energy: 3.51 states/eV per cell

Cell: 3.1244 3.0168 9.0983 Å, 90.00 89.99 90.00°
Fractional coordinates of all 6 atoms:
1 Pd 0.1962 0.5000 0.0613
2 N 0.6962 0.5000 0.8916
3 N 0.6962 0.0000 0.3916
4 Ge 0.6958 0.0000 0.7698
5 Pd 0.1962 0.0000 0.5613
6 Ge 0.6958 0.5000 0.2698


three:
DFT (GGA-PBE) results for a relaxed GePdN crystal.

Summary:
Volume: 46.9 Å³/f.u.
DOS at the Fermi energy: 1.46 states/eV per cell

Cell: 3.8841 2.9961 4.3163 Å, 90.00 111.05 90.00°
Fractional coordinates of all 3 atoms:
1 Pd 0.1749 0.0000 0.2096
2 Ge 0.5872 0.5000 0.9735
3 N 0.3350 0.0000 0.7286


Tell me which of them is the most stable. Sure, it is two.


one:
DFT (GGA-PBE) results for a relaxed Ge3PdN crystal.

Summary:
Volume: 79.0 Å³/f.u.
DOS at the Fermi energy: 3.14 states/eV per cell

Cell: 4.2917 4.2917 4.2917 Å, 90.00 90.00 90.00°
Fractional coordinates of all 5 atoms:
1 Ge 0.0000 0.5000 0.0000
2 Ge 0.5000 0.0000 0.0000
3 N 0.0000 0.0000 0.0000
4 Ge 0.0000 0.0000 0.5000
5 Pd 0.5000 0.5000 0.5000


two:
DFT (GGA-PBE) results for a relaxed Ge3PdN crystal.

Summary:
Volume: 108.3 Å³/f.u.
DOS at the Fermi energy: 2.47 states/eV per cell

Cell: 4.7663 4.7663 4.7663 Å, 90.00 90.00 90.00°
Fractional coordinates of all 5 atoms:
1 Pd 0.0000 0.0000 0.0000
2 Ge 0.5000 0.0000 0.0000
3 Ge 0.0000 0.0000 0.5000
4 Ge 0.0000 0.5000 0.0000
5 N 0.5000 0.5000 0.5000


Tell me which of them is the most stable. Sure, it is one.


one:
DFT (GGA-PBE) results for a relaxed GePdS2N crystal.

Summary:
Volume: 90.4 Å³/f.u.
DOS at the Fermi energy: 3.17 states/eV per cell

Cell: 4.9287 4.9287 3.7203 Å, 90.00 90.00 90.00°
Each line ends with the local moment (μB).
Fractional coordinates of all 5 atoms:
1 N 0.0000 0.0000 0.5000  0.29
2 Pd 0.0000 0.0000 0.0000  0.03
3 S 0.5000 0.0000 0.0000  0.03
4 S 0.0000 0.5000 0.0000  0.03
5 Ge 0.5000 0.5000 0.5000  0.00


two:
DFT (GGA-PBE) results for a relaxed GePdS2N crystal.

Summary:
Volume: 82.7 Å³/f.u.
DOS at the Fermi energy: 6.99 states/eV per cell

Cell: 4.8455 4.8455 3.5208 Å, 90.00 90.00 90.00°
Fractional coordinates of all 5 atoms:
1 Ge 0.0000 0.0000 0.0000
2 Pd 0.5000 0.5000 0.5000
3 S 0.0000 0.5000 0.0000
4 S 0.5000 0.0000 0.0000
5 N 0.0000 0.0000 0.5000


Tell me which of them is the most stable. Sure, it is one.


one:
DFT (GGA-PBE) results for a relaxed GePdSe2N crystal.

Summary:
Volume: 93.0 Å³/f.u.
DOS at the Fermi energy: 4.26 states/eV per cell

Cell: 5.2136 5.2136 3.4197 Å, 90.00 90.00 90.00°
Fractional coordinates of all 5 atoms:
1 N 0.0000 0.0000 0.5000
2 Ge 0.0000 0.0000 0.0000
3 Se 0.5000 0.0000 0.0000
4 Se 0.0000 0.5000 0.0000
5 Pd 0.5000 0.5000 0.5000


two:
DFT (GGA-PBE) results for a relaxed GePdSe2N crystal.

Summary:
Volume: 100.6 Å³/f.u.
DOS at the Fermi energy: 4.01 states/eV per cell

Cell: 5.2040 5.2040 3.7141 Å, 90.00 90.00 90.00°
Each line ends with the local moment (μB).
Fractional coordinates of all 5 atoms:
1 N 0.0000 0.0000 0.5000  0.27
2 Pd 0.0000 0.0000 0.0000  0.05
3 Ge 0.5000 0.5000 0.5000  0.00
4 Se 0.0000 0.5000 0.0000  0.07
5 Se 0.5000 0.0000 0.0000  0.07


Tell me which of them is the most stable. Sure, it is two.


one:
DFT (GGA-PBE) results for a relaxed GeTe2PdN crystal.

Summary:
Volume: 115.3 Å³/f.u.
DOS at the Fermi energy: 3.79 states/eV per cell

Cell: 5.5758 5.5758 3.7073 Å, 90.00 90.00 90.00°
Fractional coordinates of all 5 atoms:
1 N 0.0000 0.0000 0.5000
2 Ge 0.5000 0.5000 0.5000
3 Te 0.0000 0.5000 0.0000
4 Te 0.5000 0.0000 0.0000
5 Pd 0.0000 0.0000 0.0000


two:
DFT (GGA-PBE) results for a relaxed GeTe2PdN crystal.

Summary:
Volume: 107.7 Å³/f.u.
DOS at the Fermi energy: 1.52 states/eV per cell

Cell: 5.6023 5.6023 3.4328 Å, 90.00 90.00 90.00°
Fractional coordinates of all 5 atoms:
1 Te 0.5000 0.0000 0.0000
2 Pd 0.5000 0.5000 0.5000
3 Ge 0.0000 0.0000 0.0000
4 N 0.0000 0.0000 0.5000
5 Te 0.0000 0.5000 0.0000


Tell me which of them is the most stable. Sure, it is one.


one:
DFT (GGA-PBE) results for a relaxed GeTePdN2 crystal.

Summary:
Volume: 100.8 Å³/f.u.
DOS at the Fermi energy: 3.77 states/eV per cell

Cell: 3.7064 3.7064 7.3392 Å, 90.00 90.00 90.00°
Fractional coordinates of all 5 atoms:
1 Pd 0.5000 0.5000 0.5000
2 Te 0.0000 0.0000 0.5000
3 N 0.0000 0.5000 0.0000
4 N 0.5000 0.0000 0.0000
5 Ge 0.0000 0.0000 0.0000


two:
DFT (GGA-PBE) results for a relaxed GeTePdN2 crystal.

Summary:
Volume: 94.2 Å³/f.u.
DOS at the Fermi energy: 3.40 states/eV per cell

Cell: 4.0819 4.0819 5.6513 Å, 90.00 90.00 90.00°
Each line ends with the local moment (μB).
Fractional coordinates of all 5 atoms:
1 N 0.5000 0.0000 0.0000  0.97
2 Te 0.0000 0.0000 0.5000  0.05
3 N 0.0000 0.5000 0.0000  0.97
4 Ge 0.5000 0.5000 0.5000  -0.08
5 Pd 0.0000 0.0000 0.0000  0.35


Tell me which of them is the most stable. Sure, it is one.


one:
DFT (GGA-PBE) results for a relaxed PmGeN crystal.

Summary:
Volume: 62.3 Å³/f.u.
DOS at the Fermi energy: 2.16 states/eV per cell

Cell: 4.2027 4.2027 4.6114 Å, 117.11 117.11 90.00°
Fractional coordinates of all 3 atoms:
1 Ge 0.6706 0.6706 0.3412
2 N 0.9255 0.9255 0.8510
3 Pm 0.2539 0.2539 0.5078


two:
DFT (GGA-PBE) results for a relaxed PmGeN crystal.

Summary:
Volume: 57.4 Å³/f.u.
DOS at the Fermi energy: 2.40 states/eV per cell

Cell: 4.1105 5.1789 10.7798 Å, 90.00 90.00 90.00°
Fractional coordinates of all 12 atoms:
1 Ge 0.2501 0.3950 0.5259
2 N 0.2500 0.6074 0.2060
3 Pm 0.2500 0.8888 0.6806
4 N 0.7500 0.1074 0.2940
5 Ge 0.7499 0.8950 0.9741
6 Pm 0.7500 0.3888 0.8194
7 Pm 0.7500 0.6112 0.3194
8 Ge 0.7501 0.1050 0.4741
9 N 0.2500 0.3926 0.7060
10 Ge 0.2499 0.6050 0.0259
11 N 0.7500 0.8926 0.7940
12 Pm 0.2500 0.1112 0.1806


three:
DFT (GGA-PBE) results for a relaxed PmGeN crystal.

Summary:
Volume: 62.2 Å³/f.u.
DOS at the Fermi energy: 3.52 states/eV per cell

Cell: 4.1816 4.3192 7.2146 Å, 72.57 90.00 90.00°
Each line ends with the local moment (μB).
Fractional coordinates of all 6 atoms:
1 Ge 0.2500 0.5485 0.9009  0.03
2 N 0.2500 0.2527 0.4945  0.27
3 Pm 0.2500 0.8226 0.3547  0.00
4 N 0.7500 0.7473 0.5055  0.27
5 Pm 0.7500 0.1774 0.6453  0.00
6 Ge 0.7500 0.4515 0.0991  0.03


Tell me which of them is the most stable. Sure, it is two.


one:
DFT (GGA-PBE) results for a relaxed PmGeN2 crystal.

Summary:
Volume: 64.7 Å³/f.u.

Cell: 7.3578 7.3578 11.8068 Å, 69.52 69.52 62.52°
Fractional coordinates of all 32 atoms:
1 N 0.8862 0.4857 0.2079
2 N 0.4857 0.8862 0.7079
3 Pm 0.7313 0.5906 0.8507
4 Ge 0.7779 0.0597 0.1711
5 Ge 0.0597 0.7779 0.6711
6 N 0.0130 0.9870 0.7500
7 Pm 0.9357 0.2659 0.5655
8 Pm 0.7341 0.0643 0.9345
9 Pm 0.2659 0.9357 0.0655
10 N 0.1138 0.5143 0.7921
11 N 0.3589 0.2230 0.9999
12 N 0.7770 0.6411 0.5001
13 Ge 0.5320 0.6899 0.6241
14 Pm 0.2687 0.4094 0.1493
15 N 0.5143 0.1138 0.2921
16 Pm 0.0643 0.7341 0.4345
17 Pm 0.4094 0.2687 0.6493
18 Ge 0.3101 0.4680 0.8759
19 N 0.6716 0.2770 0.4532
20 N 0.7230 0.3284 0.0468
21 Ge 0.6899 0.5320 0.1241
22 N 0.5806 0.4194 0.7500
23 Ge 0.4680 0.3101 0.3759
24 Ge 0.9403 0.2221 0.3289
25 N 0.2230 0.3589 0.4999
26 N 0.3284 0.7230 0.5468
27 N 0.2770 0.6716 0.9532
28 Pm 0.5906 0.7313 0.3507
29 N 0.9870 0.0130 0.2500
30 N 0.6411 0.7770 0.0001
31 N 0.4194 0.5806 0.2500
32 Ge 0.2221 0.9403 0.8289


two:
DFT (GGA-PBE) results for a relaxed PmGeN2 crystal.

Summary:
Volume: 57.0 Å³/f.u.
DOS at the Fermi energy: 2.79 states/eV per cell

Cell: 3.5121 3.5121 5.7074 Å, 72.08 72.08 60.00°
Fractional coordinates of all 4 atoms:
1 Pm 0.5000 0.5000 0.5000
2 N 0.2545 0.2545 0.2365
3 N 0.7455 0.7455 0.7635
4 Ge 0.0000 0.0000 0.0000


Tell me which of them is the most stable. Sure, it is one.


one:
DFT (GGA-PBE) results for a relaxed Pm3GeN crystal.

Summary:
Volume: 124.1 Å³/f.u.
DOS at the Fermi energy: 5.92 states/eV per cell

Cell: 4.8507 4.8914 10.7362 Å, 90.00 103.03 90.00°
Fractional coordinates of all 10 atoms:
1 Pm 0.0743 0.2500 0.6489
2 Pm 0.6909 0.2500 0.8834
3 Ge 0.8356 0.2500 0.1716
4 N 0.4301 0.7500 0.3600
5 Pm 0.3091 0.7500 0.1166
6 N 0.5699 0.2500 0.6400
7 Pm 0.5583 0.7500 0.6169
8 Ge 0.1644 0.7500 0.8284
9 Pm 0.4417 0.2500 0.3831
10 Pm 0.9257 0.7500 0.3511


two:
DFT (GGA-PBE) results for a relaxed Pm3GeN crystal.

Summary:
Volume: 117.0 Å³/f.u.
DOS at the Fermi energy: 1.94 states/eV per cell

Cell: 4.8915 4.8915 4.8915 Å, 90.00 90.00 90.00°
Fractional coordinates of all 5 atoms:
1 Pm 0.5000 0.0000 0.0000
2 Pm 0.0000 0.5000 0.0000
3 N 0.0000 0.0000 0.0000
4 Pm 0.0000 0.0000 0.5000
5 Ge 0.5000 0.5000 0.5000


Tell me which of them is the most stable. Sure, it is two.


one:
DFT (GGA-PBE) results for a relaxed Pm6Ge2N crystal.

Summary:
Volume: 241.8 Å³/f.u.
DOS at the Fermi energy: 18.71 states/eV per cell

Cell: 6.4241 7.9120 9.5189 Å, 90.00 88.03 90.00°
Fractional coordinates of all 18 atoms:
1 Pm 0.3800 0.5336 0.2510
2 Pm 0.1377 0.2895 0.5555
3 Pm 0.8623 0.7105 0.4445
4 Ge 0.9347 0.3874 0.2568
5 Ge 0.5653 0.8874 0.2432
6 N 0.0000 0.0000 0.5000
7 Ge 0.0653 0.6126 0.7432
8 Pm 0.3279 0.8399 0.5532
9 Pm 0.8279 0.6601 0.0532
10 Ge 0.4347 0.1126 0.7568
11 Pm 0.3623 0.7895 0.9445
12 Pm 0.1721 0.3399 0.9468
13 Pm 0.1200 0.0336 0.2490
14 Pm 0.6200 0.4664 0.7490
15 Pm 0.8800 0.9664 0.7510
16 Pm 0.6377 0.2105 0.0555
17 Pm 0.6721 0.1601 0.4468
18 N 0.5000 0.5000 0.0000


two:
DFT (GGA-PBE) results for a relaxed Pm6Ge2N crystal.

Summary:
Volume: 236.8 Å³/f.u.
DOS at the Fermi energy: 8.73 states/eV per cell

Cell: 4.9026 6.8068 8.2430 Å, 114.39 107.29 90.00°
Fractional coordinates of all 9 atoms:
1 Pm 0.1549 0.3962 0.3097
2 N 0.0000 0.0000 0.0000
3 Ge 0.6669 0.6669 0.3339
4 Pm 0.5000 0.2319 0.0000
5 Pm 0.8451 0.6038 0.6903
6 Pm 0.8451 0.0865 0.6903
7 Ge 0.3331 0.3331 0.6661
8 Pm 0.5000 0.7681 0.0000
9 Pm 0.1549 0.9135 0.3097


Tell me which of them is the most stable. Sure, it is one.